{"formula": "HoAl4Mo", "functional": "PBE", "state": "relaxed", "volume_a3_per_fu": 103, "formation_enthalpy_0k_ev_per_atom": -0.247, "lattice_angstrom": [[0.000, 3.725, 3.725], [3.725, 0.000, 3.725], [3.725, 3.725, 0.000]], "species": ["Ho", "Al", "Al", "Al", "Al", "Mo"], "frac_coords": [[0.000, 0.000, 0.000], [0.125, 0.625, 0.625], [0.625, 0.125, 0.625], [0.625, 0.625, 0.125], [0.625, 0.625, 0.625], [0.250, 0.250, 0.250]]}